VASP calculation (PBE) on a relaxed PrYPb crystal.

The structure in extended XYZ format:
```
3
Lattice="-2.1843 3.5144 0.7009 0.3295 -0.6205 4.1376 5.3336 1.2800 -2.3612" Properties=species:S:1:pos:R:3 pbc="T T T"
Pb 2.5404 1.5723 0.0335
Pr 0.1637 2.1222 2.4336
Y 2.9316 3.8352 2.4701
```

Values from the calculation:
**Formation energy**: -88 kJ/mol of formula units
**Energy**: -15.866 eV for the cell shown

=====

VASP calculation (PBE) on a relaxed Pr12YPb3 crystal.

The structure in extended XYZ format:
```
16
Lattice="-0.8249 -0.1895 4.9796 -1.7122 -4.7293 -0.4636 19.0713 -7.1875 2.8858" Properties=species:S:1:pos:R:3 pbc="T T T"
Pr 11.4476 -4.5645 4.2844
Pr 16.1556 -6.3389 4.9968
Pr 2.0907 -1.0381 2.8686
Pr 1.6471 -3.3080 0.1470
Pr 12.9262 -7.8091 4.4059
Pr 6.3551 -5.0824 0.8594
Pr 6.7987 -2.8125 3.5810
Pr 11.0039 -6.8344 1.5628
Pr 15.7120 -8.6088 2.2752
Pr 3.6079 -4.2972 2.9959
Pr -1.2686 -2.4594 2.2580
Pr 8.2671 -6.0531 3.7009
Pb 9.5356 -3.5938 1.4429
Pb 14.2040 -5.3532 2.1493
Pb 4.8673 -1.8344 0.7365
Y 0.0000 0.0000 0.0000
```

Values from the calculation:
**Formation energy**: -377 kJ/mol of formula units
**Energy**: -78.849 eV for the cell shown

=====

VASP calculation (PBE) on a relaxed PrYPb crystal.

The structure in extended XYZ format:
```
6
Lattice="4.6765 -0.2259 -0.0672 0.2249 4.6763 -0.0681 0.1317 0.1202 8.8083" Properties=species:S:1:pos:R:3 pbc="T T T"
Y 4.0080 1.6403 8.0204
Y 1.7821 4.0914 8.0200
Pb 4.0258 3.8923 1.5828
Pb 1.6335 1.7193 5.6496
Pr 1.5848 1.6761 2.2971
Pr 4.0748 3.9362 4.9353
```

Values from the calculation:
**Formation energy**: -133 kJ/mol of formula units
**Energy**: -32.670 eV for the cell shown

=====

VASP calculation (PBE) on a relaxed Pr3YPb5 crystal.

The structure in extended XYZ format:
```
18
Lattice="-3.5188 4.4001 3.5636 -8.0997 -2.5679 -4.8273 2.4793 -4.6724 8.2173" Properties=species:S:1:pos:R:3 pbc="T T T"
Pr -6.1131 -1.1753 4.7681
Pr -5.8863 -0.4872 -2.0929
Pr 0.6528 -1.7881 5.9701
Pr -3.0260 -1.6649 2.1855
Pr -1.6923 1.5157 5.8107
Pr -5.7322 2.3194 0.8293
Pb -4.5733 -3.2694 -0.4791
Pb -0.1795 -0.2196 3.2117
Pb -6.3328 -1.0694 1.3027
Pb -0.8600 -0.0527 8.5692
Pb -1.0470 -3.9709 3.8691
Pb -3.1673 0.3748 -0.4725
Pb -4.9127 -4.0954 3.3235
Pb -4.2265 1.2552 3.6301
Pb -8.4512 1.4574 -0.7912
Pb -2.8064 -1.7709 5.6509
Y 0.0000 0.0000 0.0000
Y -1.7594 2.2000 1.7818
```

Values from the calculation:
**Formation energy**: -429 kJ/mol of formula units
**Energy**: -87.578 eV for the cell shown